Ca2Br3N2 after structural relaxation. Source: Alexandria via LeMat-Bulk, functional PBE.

Results
E_form (uncorrected): -30.72 kcal/mol of atoms
Uncorrected energy: -4.9995 eV per atom

POSCAR file:
```
Ca2Br3N2
1.0
4.2505 0.0000 0.0000
0.0139 7.2398 0.0000
2.1245 0.9656 6.9020
Ca Br N
2 3 2
direct
0.1280 0.3559 0.2455
0.8720 0.6441 0.7545
0.2448 0.7304 0.0088
0.5000 0.5000 0.5000
0.7552 0.2696 0.9912
0.0255 0.0711 0.4497
0.9745 0.9289 0.5503
```

---

BaScPb2 after structural relaxation. Source: Alexandria via LeMat-Bulk, functional PBE.

Results
Formation energy from the elements: -98 meV/atom
Uncorrected energy: -4.0155 eV per atom

POSCAR file:
```
BaScPb2
1.0
4.2686 0.0000 0.0000
0.0000 4.2686 0.0000
0.0000 0.0000 7.6394
Ba Sc Pb
1 1 2
direct
0.0000 0.0000 0.0000
0.5000 0.5000 0.6418
0.0000 0.0000 0.5398
0.5000 0.5000 0.2689
```